Entry 1:
The following is a DFT calculation (PBE-GGA) of a relaxed structure of Er4InTc.

## Properties
- energy of formation (meV/atom) = -260
- M_tot (Bohr magnetons per cell) = 0.00
- final energy (eV/atom) = -5.49
- space-group type = C2/c

a b c (Å): 6.1509 8.9757 7.7618
angles (deg): 115.03 99.78 113.05
Last column: nearest neighbours and their distance in Å.
Sites, in units of the cell vectors:
Er1 0.7422 0.3557 0.1559  2 Tc 2.92-2.96, 1 In 3.20
Er2 0.3898 0.9389 0.6630  2 Tc 2.79-2.82
Er3 0.7732 0.7241 0.6630  2 Tc 2.79-2.82
Er4 0.2578 0.6443 0.8441  2 Tc 2.92-2.96, 1 In 3.20
Er5 0.6102 0.0611 0.3370  2 Tc 2.79-2.82
Er6 0.0864 0.1999 0.8441  2 Tc 2.92-2.96, 1 In 3.20
Er7 0.2268 0.2759 0.3370  2 Tc 2.79-2.82
Er8 0.9136 0.8001 0.1559  2 Tc 2.92-2.96, 1 In 3.20
In1 0.6249 0.3749 0.7498  8 Er 3.20-3.42
In2 0.3751 0.6251 0.2502  8 Er 3.20-3.42
Tc1 0.7505 0.0005 0.0010  8 Er 2.79-2.96, 2 Tc 3.08
Tc2 0.2495 0.9995 0.9990  8 Er 2.79-2.96, 2 Tc 3.08

***

Entry 2:
The following is a DFT calculation (PBE-GGA) of a relaxed structure of ScBeFe2.

## Properties
- energy of formation (meV/atom) = 35
- M_tot (Bohr magnetons per cell) = 3.25
- final energy (eV/atom) = -6.71
- space-group type = F-43m

a b c (Å): 4.1683 4.1683 4.1683
angles (deg): 60.00 60.00 60.00
Last column: nearest neighbours and their distance in Å.
Sites, in units of the cell vectors:
Sc1 0.2500 0.2500 0.2500  4 Fe 2.55, 4 Be 2.55
Fe1 0.7500 0.7500 0.7500  4 Fe 2.55, 4 Be 2.55
Fe2 0.0000 0.0000 0.0000  4 Fe 2.55, 4 Sc 2.55
Be1 0.5000 0.5000 0.5000  4 Fe 2.55, 4 Sc 2.55

***

Entry 3:
The following is a DFT calculation (PBE-GGA) of a relaxed structure of TeMoRh4.

## Properties
- M_tot (Bohr magnetons per cell) = 0.73
- final energy (eV/atom) = -6.85
- space-group type = F-43m
- formation energy without anion corrections (meV/atom) = 381

a b c (Å): 5.1798 5.1798 5.1798
angles (deg): 60.00 60.00 60.00
Last column: nearest neighbours and their distance in Å.
Sites, in units of the cell vectors:
Te1 0.7500 0.7500 0.7500  12 Rh 3.04, 4 Mo 3.17
Rh1 0.3741 0.8776 0.3741  6 Rh 2.57-2.61
Rh2 0.8776 0.3741 0.3741  6 Rh 2.57-2.61
Rh3 0.3741 0.3741 0.8776  6 Rh 2.57-2.61
Rh4 0.3741 0.3741 0.3741  6 Rh 2.57-2.61
Mo1 0.0000 0.0000 0.0000  12 Rh 3.04, 4 Te 3.17

***

Entry 4:
The following is a DFT calculation (PBE-GGA) of a relaxed structure of CuTeAs2Br.

## Properties
- energy above the lowest structure with this stoichiometry (kJ/mol of formula units) = 0
- M_tot (Bohr magnetons per cell) = 0.00
- final energy (eV/atom) = -3.18
- space-group type = P4/mmm
- formation energy without anion corrections (meV/atom) = 467

a b c (Å): 4.9230 4.9230 4.7245
angles (deg): 90.00 90.00 90.00
Last column: nearest neighbours and their distance in Å.
Sites, in units of the cell vectors:
As1 0.5000 0.0000 0.0000  2 Cu 2.46
As2 0.0000 0.5000 0.0000  2 Cu 2.46
Te1 0.5000 0.5000 0.5000  8 As 3.41, 4 Br 3.48
Cu1 0.0000 0.0000 0.0000  2 Br 2.36, 4 As 2.46
Br1 0.0000 0.0000 0.5000  2 Cu 2.36

***

Which formula does entry 3 have?
TeMoRh4